Record 1
Density functional theory data (PBE) for a geometry-optimized K3Tl4Au4 structure.

a = 4.804 Å, b = 8.383 Å, c = 16.034 Å
α = 90.00°, β = 90.00°, γ = 90.00°
Space group Immm (No. 71)
Symmetry-distinct sites (fractional):
K 0.000 0.000 0.000 [2 per cell]
K 0.000 0.500 0.120 [4 per cell]
Tl 0.000 0.302 0.329 [8 per cell]
Au 0.000 0.000 0.221 [4 per cell]
Au 0.000 0.174 0.500 [4 per cell]

Computed properties:
VASP energy in eV per atom: -2.58
D(E_F) in states/eV/cell: 9.30
M_tot in μB/atom: 0.000
Theoretical density in g cm⁻³: 8.86

=====

Record 2
Density functional theory data (PBE) for a geometry-optimized K3Tl6Au5 structure.

a = 5.149 Å, b = 15.268 Å, c = 10.018 Å
α = 90.00°, β = 90.00°, γ = 90.00°
Space group Pmmn (No. 59, origin choice 2)
Symmetry-distinct sites (fractional):
K 0.250 0.041 0.248 [4 per cell]
K 0.250 0.750 0.266 [2 per cell]
Tl 0.250 0.074 0.595 [4 per cell]
Tl 0.250 0.250 0.056 [2 per cell]
Tl 0.250 0.250 0.410 [2 per cell]
Tl 0.250 0.602 0.964 [4 per cell]
Au 0.250 0.090 0.885 [4 per cell]
Au 0.250 0.619 0.552 [4 per cell]
Au 0.250 0.750 0.763 [2 per cell]

Computed properties:
VASP energy in eV per atom: -2.60
D(E_F) in states/eV/cell: 12.41
M_tot in μB/atom: 0.000
Theoretical density in g cm⁻³: 9.82

=====

Record 3
Density functional theory data (PBE) for a geometry-optimized KTl2Au2 structure.

a = 5.330 Å, b = 5.330 Å, c = 10.680 Å
α = 90.00°, β = 90.00°, γ = 90.00°
Space group I4/mmm (No. 139)
Symmetry-distinct sites (fractional):
K 0.000 0.000 0.000 [2 per cell]
Tl 0.000 0.000 0.355 [4 per cell]
Au 0.000 0.500 0.250 [4 per cell]

Computed properties:
VASP energy in eV per atom: -2.63
D(E_F) in states/eV/cell: 3.67
M_tot in μB/atom: 0.000
Theoretical density in g cm⁻³: 9.22

=====

Record 4
Density functional theory data (PBE) for a geometry-optimized KTlAu5 structure.

a = 9.453 Å, b = 5.695 Å, c = 11.894 Å
α = 90.00°, β = 90.00°, γ = 90.00°
Space group Pnma (No. 62)
Symmetry-distinct sites (fractional):
K 0.244 0.250 0.065 [4 per cell]
Tl 0.131 0.750 0.869 [4 per cell]
Au 0.063 0.750 0.103 [4 per cell]
Au 0.078 0.005 0.313 [8 per cell]
Au 0.078 0.250 0.517 [4 per cell]
Au 0.177 0.250 0.743 [4 per cell]

Computed properties:
VASP energy in eV per atom: -2.98
D(E_F) in states/eV/cell: 8.17
M_tot in μB/atom: 0.000
Theoretical density in g cm⁻³: 12.74

=====

Record 5
Density functional theory data (PBE) for a geometry-optimized K2Tl3Au4 structure.

a = 7.955 Å, b = 8.180 Å, c = 8.075 Å
α = 90.00°, β = 109.23°, γ = 90.00°
Space group P2_1/c (No. 14)
Symmetry-distinct sites (fractional):
K 0.185 0.171 0.057 [4 per cell]
Tl 0.248 0.668 0.255 [4 per cell]
Tl 0.500 0.000 0.500 [2 per cell]
Au 0.083 0.547 0.872 [4 per cell]
Au 0.485 0.618 0.630 [4 per cell]

Computed properties:
VASP energy in eV per atom: -2.67
D(E_F) in states/eV/cell: 5.95
M_tot in μB/atom: 0.000
Theoretical density in g cm⁻³: 9.90

=====

Record 6
Density functional theory data (PBE) for a geometry-optimized K3Tl7Au4 structure.

a = 18.303 Å, b = 5.168 Å, c = 10.397 Å
α = 90.00°, β = 122.66°, γ = 90.00°
Space group C2/m (No. 12)
Symmetry-distinct sites (fractional):
K 0.000 0.000 0.000 [2 per cell]
K 0.199 0.500 0.706 [4 per cell]
Tl 0.000 0.000 0.500 [2 per cell]
Tl 0.001 0.500 0.301 [4 per cell]
Tl 0.157 0.000 0.431 [4 per cell]
Tl 0.178 0.500 0.030 [4 per cell]
Au 0.130 0.000 0.849 [4 per cell]
Au 0.161 0.500 0.295 [4 per cell]

Computed properties:
VASP energy in eV per atom: -2.53
D(E_F) in states/eV/cell: 10.15
M_tot in μB/atom: 0.000
Theoretical density in g cm⁻³: 9.37

=====

Record 7
Density functional theory data (PBE) for a geometry-optimized KTl3Au8 structure.

a = 5.6897 Å, b = 5.6897 Å, c = 28.6085 Å
α = 90.00°, β = 90.00°, γ = 120.00°
Space group R3m (No. 160, hexagonal axes)
Symmetry-distinct sites (fractional):
K 0.0000 0.0000 0.0000 [3 per cell]
Tl 0.0000 0.0000 0.3793 [3 per cell]
Tl 0.0000 0.0000 0.4997 [3 per cell]
Tl 0.0000 0.0000 0.8739 [3 per cell]
Au 0.0000 0.0000 0.1869 [3 per cell]
Au 0.0000 0.0000 0.6864 [3 per cell]
Au 0.0005 0.5002 0.4371 [9 per cell]
Au 0.0004 0.5002 0.9370 [9 per cell]

Computed properties:
VASP energy in eV per atom: -2.95
D(E_F) in states/eV/cell: 10.61
M_tot in μB/atom: 0.000
Theoretical density in g cm⁻³: 13.84

=====

Record 8
Density functional theory data (PBE) for a geometry-optimized K2Tl3Au2 structure.

a = 12.087 Å, b = 4.659 Å, c = 8.450 Å
α = 90.00°, β = 113.72°, γ = 90.00°
Space group C2/m (No. 12)
Symmetry-distinct sites (fractional):
K 0.149 0.000 0.289 [4 per cell]
Tl 0.000 0.500 0.500 [2 per cell]
Tl 0.128 0.500 0.945 [4 per cell]
Au 0.136 0.000 0.725 [4 per cell]

Computed properties:
VASP energy in eV per atom: -2.45
D(E_F) in states/eV/cell: 6.88
M_tot in μB/atom: 0.000
Theoretical density in g cm⁻³: 8.27

=====

no.,formation enthalpy at 0 K (eV/atom)
1,-0.231
2,-0.176
3,-0.156
4,-0.140
5,-0.180
6,-0.174
7,-0.082
8,-0.186